DFT (PBE-GGA) results for a relaxed CdFeCo2C crystal.

The space group is P4/mmm (No. 123) and the conventional cell measures 3.873, 3.873 and 3.857 Å, with angles of 90.00, 90.00 and 90.00 degrees. The distinct sites, in fractional coordinates, are Cd at (0.000, 0.000, 0.000), Fe at (0.500, 0.500, 0.000), Co at (0.000, 0.500, 0.500) and C at (0.500, 0.500, 0.500).

The magnetization is 3.55 μB/cell. For the total energy, the calculation gives -32.08 eV/cell. The density of states at the Fermi level is 1.25 states/eV per atom. The value obtained for the calculated formation energy is 148 meV/atom.